VASP calculation (PBE-GGA) on SrAl2Pd after structural relaxation.

## Properties
Symmetry ... I4_1/amd, No. 141
Mass density ... 3.7 g/cm3
Fermi-level density of states ... 0.448 states/eV/atom

Lattice parameters (Å, degrees): 9.148 9.148 9.148 147.44 147.44 46.72
Positions (direct):
Sr1 0.375 0.625 0.750
Sr2 0.625 0.375 0.250
Al1 0.000 0.000 0.000
Al2 0.000 0.000 0.500
Al3 0.000 0.500 0.000
Al4 0.500 0.000 0.500
Pd1 0.125 0.875 0.250
Pd2 0.875 0.125 0.750

VASP calculation (PBE-GGA) on SrAl12Pd6 after structural relaxation.

## Properties
Symmetry ... R-3m, No. 166
Mass density ... 5.2 g/cm3
Fermi-level density of states ... 0.168 states/eV/atom

Lattice parameters (Å, degrees): 7.224 7.224 7.224 104.56 104.56 104.56
Positions (direct):
Sr1 0.000 0.000 0.000
Al1 0.116 0.500 0.884
Al2 0.116 0.884 0.500
Al3 0.150 0.407 0.407
Al4 0.407 0.150 0.407
Al5 0.407 0.407 0.150
Al6 0.500 0.116 0.884
Al7 0.500 0.884 0.116
Al8 0.593 0.593 0.850
Al9 0.593 0.850 0.593
Al10 0.850 0.593 0.593
Al11 0.884 0.116 0.500
Al12 0.884 0.500 0.116
Pd1 0.278 0.278 0.705
Pd2 0.278 0.705 0.278
Pd3 0.295 0.722 0.722
Pd4 0.705 0.278 0.278
Pd5 0.722 0.295 0.722
Pd6 0.722 0.722 0.295

VASP calculation (PBE-GGA) on SrAl10Pd2 after structural relaxation.

## Properties
Symmetry ... Cmcm, No. 63
Mass density ... 4.2 g/cm3
Fermi-level density of states ... 0.275 states/eV/atom

Lattice parameters (Å, degrees): 6.956 6.956 9.467 90.00 90.00 97.35
Positions (direct):
Sr1 0.124 0.876 0.750
Sr2 0.876 0.124 0.250
Al1 0.138 0.398 0.750
Al2 0.161 0.839 0.105
Al3 0.161 0.839 0.395
Al4 0.223 0.223 0.000
Al5 0.223 0.223 0.500
Al6 0.235 0.478 0.250
Al7 0.386 0.614 0.560
Al8 0.386 0.614 0.940
Al9 0.398 0.138 0.250
Al10 0.478 0.235 0.750
Al11 0.522 0.765 0.250
Al12 0.602 0.862 0.750
Al13 0.614 0.386 0.060
Al14 0.614 0.386 0.440
Al15 0.765 0.522 0.750
Al16 0.777 0.777 0.000
Al17 0.777 0.777 0.500
Al18 0.839 0.161 0.605
Al19 0.839 0.161 0.895
Al20 0.862 0.602 0.250
Pd1 0.000 0.500 0.000
Pd2 0.000 0.500 0.500
Pd3 0.500 0.000 0.000
Pd4 0.500 0.000 0.500

VASP calculation (PBE-GGA) on Sr2Al9Pd3 after structural relaxation.

## Properties
Symmetry ... C2/c, No. 15
Mass density ... 4.8 g/cm3
Fermi-level density of states ... 0.175 states/eV/atom

Lattice parameters (Å, degrees): 7.789 7.789 10.772 111.37 111.37 59.68
Positions (direct):
Sr1 0.085 0.251 0.249
Sr2 0.251 0.085 0.749
Sr3 0.749 0.915 0.251
Sr4 0.915 0.749 0.751
Al1 0.028 0.853 0.073
Al2 0.147 0.972 0.427
Al3 0.196 0.358 0.571
Al4 0.219 0.580 0.252
Al5 0.317 0.484 0.949
Al6 0.358 0.196 0.071
Al7 0.378 0.622 0.750
Al8 0.420 0.781 0.248
Al9 0.484 0.317 0.449
Al10 0.516 0.683 0.551
Al11 0.580 0.219 0.752
Al12 0.622 0.378 0.250
Al13 0.642 0.804 0.929
Al14 0.683 0.516 0.051
Al15 0.781 0.420 0.748
Al16 0.804 0.642 0.429
Al17 0.853 0.028 0.573
Al18 0.972 0.147 0.927
Pd1 0.000 0.500 0.000
Pd2 0.160 0.670 0.500
Pd3 0.330 0.840 0.000
Pd4 0.500 0.000 0.500
Pd5 0.670 0.160 0.000
Pd6 0.840 0.330 0.500

VASP calculation (PBE-GGA) on Sr2Al2Pd after structural relaxation.

## Properties
Symmetry ... P4/mbm, No. 127
Mass density ... 4.3 g/cm3
Polymorph energy (0 for the lowest one) ... 220 meV per atom
Fermi-level density of states ... 0.890 states/eV/atom

Lattice parameters (Å, degrees): 7.092 7.092 5.214 90.00 90.00 90.00
Positions (direct):
Sr1 0.178 0.322 0.000
Sr2 0.322 0.822 0.000
Sr3 0.678 0.178 0.000
Sr4 0.822 0.678 0.000
Al1 0.135 0.635 0.500
Al2 0.365 0.135 0.500
Al3 0.635 0.865 0.500
Al4 0.865 0.365 0.500
Pd1 0.000 0.000 0.500
Pd2 0.500 0.500 0.500

VASP calculation (PBE-GGA) on SrAl12Pd4 after structural relaxation.

## Properties
Symmetry ... Im-3, No. 204
Mass density ... 4.0 g/cm3
Fermi-level density of states ... 0.764 states/eV/atom

Lattice parameters (Å, degrees): 7.668 7.668 7.668 109.47 109.47 109.47
Positions (direct):
Sr1 0.000 0.000 0.000
Al1 0.163 0.347 0.510
Al2 0.163 0.653 0.816
Al3 0.184 0.837 0.347
Al4 0.347 0.184 0.837
Al5 0.347 0.510 0.163
Al6 0.490 0.837 0.653
Al7 0.510 0.163 0.347
Al8 0.653 0.490 0.837
Al9 0.653 0.816 0.163
Al10 0.816 0.163 0.653
Al11 0.837 0.347 0.184
Al12 0.837 0.653 0.490
Pd1 0.000 0.000 0.500
Pd2 0.000 0.500 0.000
Pd3 0.500 0.000 0.000
Pd4 0.500 0.500 0.500

no.,E_tot (eV per atom),calculated formation energy (eV/atom)
1,-3.90,-0.308
2,-4.71,-0.620
3,-4.18,-0.375
4,-4.34,-0.579
5,-3.46,-0.249
6,-4.12,-0.160